A plane-wave DFT calculation with GGA-PBE was carried out for TiMnH after structural relaxation.

a b c (Å): 3.476 3.476 6.661
angles (deg): 74.87 74.87 60.00
Positions (direct):
H: 0.300 0.300 0.100
H: 0.700 0.700 0.900
Mn: 0.846 0.846 0.463
Mn: 0.154 0.154 0.537
Ti: 0.599 0.599 0.202
Ti: 0.401 0.401 0.798

## Properties
magnetization	0.000	μB/atom
density of states at the Fermi level	1.64	states/eV/f.u.
DFT total energy	-20.554	eV/f.u.